Entry 1:
Material: CdBSbPd2
Method: DFT, PBE
State: optimized geometry

Results
symmetry = P4/mmm (123)
spin magnetization = 0.00 μB per formula unit
formation energy from raw total energies = 18.21 kcal/mol of atoms
total DFT energy (no corrections) = -3.63 eV/atom
mass density = 6.86 g/cm³

The structure in POSCAR format:
```
CdBSbPd2
1.0
5.0410 0.0000 0.0000
0.0000 4.3581 0.0000
0.0000 0.0000 5.0410
Sb Cd Pd B
1 1 2 1
direct
0.0000 0.0000 0.0000
0.5000 0.5000 0.5000
0.5000 0.0000 0.0000
0.0000 0.0000 0.5000
0.0000 0.5000 0.0000
```

***

Entry 2:
Material: Ac4Zn5Cd3
Method: DFT, PBE
State: optimized geometry

Results
symmetry = C2/m (12)
E_form = -180 meV/atom
spin magnetization = 0.00 μB per formula unit
total DFT energy (no corrections) = -2.31 eV/atom
mass density = 7.49 g/cm³

The structure in POSCAR format:
```
Ac4Zn5Cd3
1.0
4.8658 0.0000 0.0000
2.4329 8.0206 -0.5456
2.4329 1.9982 8.8018
Ac Zn Cd
4 5 3
direct
0.7333 0.2813 0.2520
0.2667 0.7187 0.7480
0.0135 0.7914 0.1816
0.9865 0.2086 0.8184
0.4053 0.0957 0.0937
0.7218 0.5802 0.9762
0.5947 0.9043 0.9063
0.5000 0.5000 0.5000
0.2782 0.4198 0.0238
0.3057 0.9819 0.4066
0.0000 0.5000 0.5000
0.6943 0.0181 0.5934
```

***

Entry 3:
Material: GaCuBi2H
Method: DFT, PBE
State: optimized geometry

Results
symmetry = P4/mmm (123)
energy relative to the lowest polymorph listed for this composition = 0 meV/atom
spin magnetization = 0.00 μB per formula unit
total DFT energy (no corrections) = -3.45 eV/atom
mass density = 8.94 g/cm³

The structure in POSCAR format:
```
GaCuBi2H
1.0
-0.0783 -4.7134 3.0101
4.0912 2.0041 3.2446
-2.2357 1.3177 2.0051
Bi H Cu Ga
2 1 1 1
direct
0.5000 0.0000 0.0000
0.0000 0.5000 0.0000
0.0000 0.0000 0.5000
0.0000 0.0000 0.0000
0.5000 0.5000 0.5000
```

***

Entry 4:
Material: Nd2Er2Hg
Method: DFT, PBE
State: optimized geometry

Results
symmetry = I4/mmm (139)
energy relative to the lowest polymorph listed for this composition = 0 meV/atom
E_form = -181 meV/atom
spin magnetization = 0.18 μB per formula unit
total DFT energy (no corrections) = -3.97 eV/atom
mass density = 9.02 g/cm³

The structure in POSCAR format:
```
Nd2Er2Hg
1.0
-2.9810 -1.7501 1.0605
0.6364 -2.5738 -2.4585
7.4123 -3.7425 8.4955
Nd Er Hg
2 2 1
direct
0.8072 0.8072 0.6145
0.1928 0.1928 0.3855
0.4167 0.4167 0.8334
0.5833 0.5833 0.1666
0.0000 0.0000 0.0000
```

***

Entry 5:
Material: Tb2Nd7Dy2
Method: DFT, PBE
State: optimized geometry

Results
symmetry = C2/m (12)
energy relative to the lowest polymorph listed for this composition = 16 meV/atom
E_form = 155 meV/atom
spin magnetization = 0.00 μB per formula unit
total DFT energy (no corrections) = -4.56 eV/atom
mass density = 7.15 g/cm³

The structure in POSCAR format:
```
Tb2Nd7Dy2
1.0
-3.8541 -2.6964 -6.8188
-4.8261 -4.2877 2.6934
-5.6639 4.1021 -0.1506
Nd Dy Tb
7 2 2
direct
0.1791 0.0840 0.4783
0.1791 0.4783 0.0840
0.5530 0.2625 0.2625
0.8209 0.5217 0.9160
0.4470 0.7375 0.7375
0.0000 0.0000 0.0000
0.8209 0.9160 0.5217
0.8113 0.4482 0.4482
0.1887 0.5518 0.5518
0.5000 0.2119 0.7881
0.5000 0.7881 0.2119
```

***

Entry 6:
Material: Ba3CaPa2O9
Method: DFT, PBE
State: optimized geometry

Results
symmetry = P-3m1 (164)
spin magnetization = 0.00 μB per formula unit
formation energy from raw total energies = -75.10 kcal/mol of atoms
total DFT energy (no corrections) = -8.02 eV/atom
mass density = 6.64 g/cm³

The structure in POSCAR format:
```
Ba3CaPa2O9
1.0
6.2889 0.0000 0.0000
-3.1444 5.4463 0.0000
0.0000 0.0000 7.7269
O Pa Ba Ca
9 2 3 1
direct
0.8264 0.6529 0.6730
0.5000 0.0000 0.0000
0.1736 0.3471 0.3270
0.6529 0.8264 0.3270
0.0000 0.5000 0.0000
0.8264 0.1736 0.6730
0.5000 0.5000 0.0000
0.1736 0.8264 0.3270
0.3471 0.1736 0.6730
0.3333 0.6667 0.1688
0.6667 0.3333 0.8312
0.0000 0.0000 0.0000
0.3333 0.6667 0.6450
0.6667 0.3333 0.3550
0.0000 0.0000 0.5000
```

***

Among the records above, which one has the highest mass density? Nd2Er2Hg

***

Look up the mass density of the fifth one. 7.15 g/cm³

***

Which of these has the highest total DFT energy (no corrections)? Ac4Zn5Cd3